Entry 1:
Here is HoTaZn4 after structural relaxation from the Alexandria database. Energies are from GGA-PBE.

## Properties
crystal system	cubic
energy relative to the elements	-86	meV/atom
total magnetization	2.23	μB per formula unit

Cell lengths 5.242, 5.242, 5.242 Å; angles 60.00, 60.00, 60.00 degrees
Last column: magnetic moment on the atom in μB.
Fractional positions:
Zn: 0.624 0.624 0.128  0.02
Zn: 0.624 0.128 0.624  0.02
Zn: 0.624 0.624 0.624  0.02
Zn: 0.128 0.624 0.624  0.02
Ho: 0.000 0.000 0.000  0.48
Ta: 0.250 0.250 0.250  1.03



Entry 2:
Here is Ho2TaZn after structural relaxation from the Alexandria database. Energies are from GGA-PBE.

## Properties
crystal system	trigonal
energy relative to the elements	521	meV/atom
total magnetization	0.00	μB per formula unit

Cell lengths 3.146, 3.146, 11.127 Å; angles 81.87, 81.87, 60.00 degrees
Fractional positions:
Zn: 0.500 0.500 0.500
Ho: 0.092 0.092 0.724
Ho: 0.908 0.908 0.276
Ta: 0.000 0.000 0.000



Entry 3:
Here is HoZr2Ta after structural relaxation from the Alexandria database. Energies are from GGA-PBE.

## Properties
crystal system	trigonal
polymorph energy (0 for the lowest one)	0.092	eV per atom
energy relative to the elements	239	meV/atom
total magnetization	0.00	μB per formula unit

Cell lengths 3.190, 3.190, 10.742 Å; angles 81.46, 81.46, 60.00 degrees
Fractional positions:
Ho: 0.500 0.500 0.500
Zr: 0.257 0.257 0.229
Zr: 0.743 0.743 0.771
Ta: 0.000 0.000 0.000



Entry 4:
Here is HoZr2Ta after structural relaxation from the Alexandria database. Energies are from GGA-PBE.

## Properties
crystal system	tetragonal
polymorph energy (0 for the lowest one)	0.000	eV per atom
energy relative to the elements	148	meV/atom
total magnetization	0.00	μB per formula unit

Cell lengths 3.610, 3.610, 7.254 Å; angles 90.00, 90.00, 90.00 degrees
Fractional positions:
Ho: 0.500 0.500 0.500
Zr: 0.000 0.000 0.794
Zr: 0.000 0.000 0.206
Ta: 0.500 0.500 0.000



Entry 5:
Here is Tb4Ho5 after structural relaxation from the Alexandria database. Energies are from GGA-PBE.

## Properties
crystal system	orthorhombic
polymorph energy (0 for the lowest one)	0.018	eV per atom
energy relative to the elements	36	meV/atom
total magnetization	0.00	μB per formula unit

Cell lengths 3.600, 9.032, 9.032 Å; angles 92.00, 78.51, 78.51 degrees
Fractional positions:
Tb: 0.356 0.621 0.667
Tb: 0.356 0.000 0.288
Tb: 0.644 0.712 0.000
Tb: 0.644 0.333 0.379
Ho: 0.000 0.041 0.959
Ho: 0.000 0.292 0.708
Ho: 0.000 0.667 0.333
Ho: 0.293 0.373 0.040
Ho: 0.707 0.960 0.627



Entry 6:
Here is Tb3Ho after structural relaxation from the Alexandria database. Energies are from GGA-PBE.

## Properties
crystal system	orthorhombic
polymorph energy (0 for the lowest one)	0.001	eV per atom
energy relative to the elements	11	meV/atom
total magnetization	0.00	μB per formula unit

Cell lengths 3.621, 6.257, 6.707 Å; angles 117.80, 105.66, 90.00 degrees
Fractional positions:
Tb: 0.251 0.583 0.501
Tb: 0.500 0.500 0.000
Tb: 0.749 0.082 0.499
Ho: 0.000 0.001 0.000



Which value of energy relative to the elements does entry 3 give?
239 meV/atom